No. 1
First-principles (PBE) data for crystalline NbZn2Rh at its relaxed geometry, as listed in Alexandria via LeMat-Bulk.

## Properties
The value obtained for the formation energy is 0.19 eV per atom. Its space group is I-42d. The energy is -4.80 eV per atom. The total magnetic moment comes out at 0.0 μB/f.u.

Lattice parameters (Å, degrees): 7.124 7.124 5.664 51.04 51.04 90.00
Atoms (fractional coordinates):
Nb1 0.500 0.500 0.000
Nb2 0.250 0.750 0.500
Rh1 0.000 0.000 0.000
Rh2 0.750 0.250 0.500
Zn1 0.644 0.125 0.250
Zn2 0.106 0.625 0.250
Zn3 0.375 0.356 0.750
Zn4 0.875 0.894 0.750

---

No. 2
First-principles (PBE) data for crystalline Zr2Nb2Rh at its relaxed geometry, as listed in Alexandria via LeMat-Bulk.

## Properties
The value obtained for the formation energy is 0.21 eV per atom. Its space group is P4/mbm. The energy is -8.71 eV per atom. The total magnetic moment comes out at 0.0 μB/f.u. The energy above the lowest structure with this stoichiometry is 275 kJ/mol of formula units.

Lattice parameters (Å, degrees): 6.857 6.857 4.369 90.00 90.00 90.00
Atoms (fractional coordinates):
Nb1 0.148 0.648 0.500
Nb2 0.648 0.852 0.500
Nb3 0.852 0.352 0.500
Nb4 0.352 0.148 0.500
Rh1 0.000 0.000 0.000
Rh2 0.500 0.500 0.000
Zr1 0.343 0.843 0.000
Zr2 0.843 0.657 0.000
Zr3 0.657 0.157 0.000
Zr4 0.157 0.343 0.000

---

No. 3
First-principles (PBE) data for crystalline ZrNbRh6 at its relaxed geometry, as listed in Alexandria via LeMat-Bulk.

## Properties
The value obtained for the formation energy is -0.57 eV per atom. Its space group is P-6m2. The energy is -8.41 eV per atom. The total magnetic moment comes out at 0.0 μB/f.u.

Lattice parameters (Å, degrees): 4.489 5.607 5.607 120.00 90.00 90.00
Atoms (fractional coordinates):
Zr1 0.000 0.083 0.917
Nb1 0.500 0.417 0.583
Rh1 0.000 0.080 0.415
Rh2 0.000 0.585 0.920
Rh3 0.000 0.585 0.415
Rh4 0.500 0.426 0.088
Rh5 0.500 0.912 0.574
Rh6 0.500 0.912 0.088

---

No. 4
First-principles (PBE) data for crystalline Zr6NbRh at its relaxed geometry, as listed in Alexandria via LeMat-Bulk.

## Properties
The value obtained for the formation energy is -0.10 eV per atom. Its space group is Immm. The energy is -8.69 eV per atom. The total magnetic moment comes out at 0.0 μB/f.u.

Lattice parameters (Å, degrees): 3.410 5.154 10.134 75.27 80.32 90.00
Atoms (fractional coordinates):
Zr1 0.755 0.755 0.490
Zr2 0.607 0.107 0.787
Zr3 0.119 0.619 0.762
Zr4 0.393 0.893 0.213
Zr5 0.245 0.245 0.510
Zr6 0.881 0.381 0.238
Nb1 0.500 0.500 0.000
Rh1 0.000 0.000 0.000

---

No. 5
First-principles (PBE) data for crystalline Zr2Nb2Rh at its relaxed geometry, as listed in Alexandria via LeMat-Bulk.

## Properties
The value obtained for the formation energy is 0.32 eV per atom. Its space group is I4/mmm. The energy is -8.60 eV per atom. The total magnetic moment comes out at 0.0 μB/f.u. The energy above the lowest structure with this stoichiometry is 327 kJ/mol of formula units.

Lattice parameters (Å, degrees): 3.604 3.604 8.477 77.73 77.73 90.00
Atoms (fractional coordinates):
Nb1 0.750 0.250 0.500
Nb2 0.250 0.750 0.500
Rh1 0.000 0.000 0.000
Zr1 0.408 0.408 0.184
Zr2 0.592 0.592 0.816

---

No. 6
First-principles (PBE) data for crystalline ZrNb3Rh at its relaxed geometry, as listed in Alexandria via LeMat-Bulk.

## Properties
The value obtained for the formation energy is 0.83 eV per atom. Its space group is Pm-3m. The energy is -8.40 eV per atom. The total magnetic moment comes out at 0.0 μB/f.u. The energy above the lowest structure with this stoichiometry is 0 kJ/mol of formula units.

Lattice parameters (Å, degrees): 4.835 4.835 4.835 90.00 90.00 90.00
Atoms (fractional coordinates):
Nb1 0.000 0.500 0.000
Nb2 0.000 0.000 0.500
Nb3 0.500 0.000 0.000
Rh1 0.000 0.000 0.000
Zr1 0.500 0.500 0.500

---

No. 7
First-principles (PBE) data for crystalline Zr3NbRh at its relaxed geometry, as listed in Alexandria via LeMat-Bulk.

## Properties
The value obtained for the formation energy is 1.03 eV per atom. Its space group is Pm-3m. The energy is -7.58 eV per atom. The total magnetic moment comes out at 0.0 μB/f.u. The energy above the lowest structure with this stoichiometry is 241 kJ/mol of formula units.

Lattice parameters (Å, degrees): 4.999 4.999 4.999 90.00 90.00 90.00
Atoms (fractional coordinates):
Nb1 0.000 0.000 0.000
Rh1 0.500 0.500 0.500
Zr1 0.000 0.500 0.000
Zr2 0.000 0.000 0.500
Zr3 0.500 0.000 0.000

---

No. 8
First-principles (PBE) data for crystalline ZrNb3Rh at its relaxed geometry, as listed in Alexandria via LeMat-Bulk.

## Properties
The value obtained for the formation energy is 1.79 eV per atom. Its space group is Pm-3m. The energy is -7.43 eV per atom. The total magnetic moment comes out at 0.0 μB/f.u. The energy above the lowest structure with this stoichiometry is 465 kJ/mol of formula units.

Lattice parameters (Å, degrees): 4.831 4.831 4.831 90.00 90.00 90.00
Atoms (fractional coordinates):
Nb1 0.000 0.500 0.000
Nb2 0.000 0.000 0.500
Nb3 0.500 0.000 0.000
Rh1 0.500 0.500 0.500
Zr1 0.000 0.000 0.000

---

No. 9
First-principles (PBE) data for crystalline ZrNb2Rh at its relaxed geometry, as listed in Alexandria via LeMat-Bulk.

## Properties
The value obtained for the formation energy is -0.13 eV per atom. Its space group is Fm-3m. The energy is -9.14 eV per atom. The total magnetic moment comes out at 0.0 μB/f.u. The energy above the lowest structure with this stoichiometry is 0 kJ/mol of formula units.

Lattice parameters (Å, degrees): 4.643 4.643 4.643 60.00 60.00 60.00
Atoms (fractional coordinates):
Nb1 0.250 0.250 0.250
Nb2 0.750 0.750 0.750
Rh1 0.500 0.500 0.500
Zr1 0.000 0.000 0.000

---

No. 10
First-principles (PBE) data for crystalline ZrNb2Rh2 at its relaxed geometry, as listed in Alexandria via LeMat-Bulk.

## Properties
The value obtained for the formation energy is 0.05 eV per atom. Its space group is I4/mmm. The energy is -8.63 eV per atom. The total magnetic moment comes out at 0.5 μB/f.u. The energy above the lowest structure with this stoichiometry is 175 kJ/mol of formula units.

Lattice parameters (Å, degrees): 4.023 4.023 6.598 72.25 72.25 90.00
Site moments in Bohr magnetons follow the coordinates.
Atoms (fractional coordinates):
Nb1 0.386 0.386 0.227  0.24
Nb2 0.614 0.614 0.773  0.24
Rh1 0.750 0.250 0.500  0.03
Rh2 0.250 0.750 0.500  0.03
Zr1 0.000 0.000 0.000  -0.06

---

No. 11
First-principles (PBE) data for crystalline ZrNb2Rh5 at its relaxed geometry, as listed in Alexandria via LeMat-Bulk.

## Properties
The value obtained for the formation energy is -0.51 eV per atom. Its space group is Pbam. The energy is -8.69 eV per atom. The total magnetic moment comes out at 0.0 μB/f.u.

Lattice parameters (Å, degrees): 4.093 5.625 11.190 90.00 90.00 90.00
Atoms (fractional coordinates):
Zr1 0.000 0.000 0.500
Zr2 0.000 0.500 0.000
Nb1 0.500 0.317 0.355
Nb2 0.500 0.683 0.645
Nb3 0.500 0.183 0.855
Nb4 0.500 0.817 0.145
Rh1 0.500 0.282 0.117
Rh2 0.500 0.718 0.883
Rh3 0.500 0.782 0.383
Rh4 0.500 0.218 0.617
Rh5 0.000 0.953 0.749
Rh6 0.000 0.047 0.251
Rh7 0.000 0.453 0.751
Rh8 0.000 0.547 0.249
Rh9 0.000 0.500 0.500
Rh10 0.000 0.000 0.000

---

No. 12
First-principles (PBE) data for crystalline Zr2Nb2Rh at its relaxed geometry, as listed in Alexandria via LeMat-Bulk.

## Properties
The value obtained for the formation energy is 0.02 eV per atom. Its space group is P4/mbm. The energy is -8.89 eV per atom. The total magnetic moment comes out at 0.0 μB/f.u. The energy above the lowest structure with this stoichiometry is 185 kJ/mol of formula units.

Lattice parameters (Å, degrees): 6.727 6.727 4.484 90.00 90.00 90.00
Atoms (fractional coordinates):
Nb1 0.357 0.857 0.000
Nb2 0.857 0.643 0.000
Nb3 0.643 0.143 0.000
Nb4 0.143 0.357 0.000
Rh1 0.000 0.000 0.000
Rh2 0.500 0.500 0.000
Zr1 0.169 0.669 0.500
Zr2 0.669 0.831 0.500
Zr3 0.831 0.331 0.500
Zr4 0.331 0.169 0.500